A:
TbAuNO | PBE | relaxed

Structure (CIF):
```
data_TbAuNO
_chemical_formula_sum 'Tb4 Au4 N4 O4'
_cell_length_a 5.731
_cell_length_b 7.718
_cell_length_c 5.584
_cell_angle_alpha 90.00
_cell_angle_beta 90.00
_cell_angle_gamma 90.00
_space_group_name_H-M_alt 'P c a 21'
_space_group_IT_number 29
loop_
_space_group_symop_operation_xyz
'x,y,z'
'-x,-y,z+1/2'
'-x+1/2,y,z+1/2'
'x+1/2,-y,z'
loop_
_atom_site_label
_atom_site_type_symbol
_atom_site_fract_x
_atom_site_fract_y
_atom_site_fract_z
_atom_site_occupancy
Tb1 Tb 0.040 0.133 0.000 1
Au1 Au 0.068 0.470 0.648 1
N1 N 0.145 0.334 0.315 1
O1 O 0.248 0.964 0.244 1
```

***

B:
TbAuNO | PBE | relaxed

Structure (CIF):
```
data_TbAuNO
_chemical_formula_sum 'Tb2 Au2 N2 O2'
_cell_length_a 3.931
_cell_length_b 3.931
_cell_length_c 7.542
_cell_angle_alpha 90.00
_cell_angle_beta 90.00
_cell_angle_gamma 90.00
_space_group_name_H-M_alt 'P 4/n m m'
_space_group_IT_number 129
loop_
_space_group_symop_operation_xyz
'x,y,z'
'-x,-y,-z'
'-y+1/2,x,z'
'y+1/2,-x,-z'
'-x+1/2,-y+1/2,z'
'x+1/2,y+1/2,-z'
'y,-x+1/2,z'
'-y,x+1/2,-z'
'x+1/2,-y,-z'
'-x+1/2,y,z'
'-y,-x,-z'
'y,x,z'
'-x,y+1/2,-z'
'x,-y+1/2,z'
'y+1/2,x+1/2,-z'
'-y+1/2,-x+1/2,z'
loop_
_atom_site_label
_atom_site_type_symbol
_atom_site_fract_x
_atom_site_fract_y
_atom_site_fract_z
_atom_site_occupancy
Tb1 Tb 0.250 0.250 0.145 1
Au1 Au 0.250 0.750 0.500 1
N1 N 0.250 0.250 0.684 1
O1 O 0.250 0.750 0.000 1
```

***

C:
TbAuNO | PBE | relaxed

Structure (CIF):
```
data_TbAuNO
_chemical_formula_sum 'Tb2 Au2 N2 O2'
_cell_length_a 4.098
_cell_length_b 7.386
_cell_length_c 5.138
_cell_angle_alpha 90.00
_cell_angle_beta 90.00
_cell_angle_gamma 90.00
_space_group_name_H-M_alt 'P m c 21'
_space_group_IT_number 26
loop_
_space_group_symop_operation_xyz
'x,y,z'
'-x,-y,z+1/2'
'-x,y,z'
'x,-y,z+1/2'
loop_
_atom_site_label
_atom_site_type_symbol
_atom_site_fract_x
_atom_site_fract_y
_atom_site_fract_z
_atom_site_occupancy
Tb1 Tb 0.000 0.159 0.000 1
Au1 Au 0.500 0.476 0.618 1
N1 N 0.500 0.292 0.900 1
O1 O 0.000 0.118 0.415 1
```

***

Taking the most stable structure as the zero point, the relative energies in eV/atom are A 0.000; B 0.292; C 0.181.

***

A:
TbAuNO | PBE | relaxed

Structure (CIF):
```
data_TbAuNO
_chemical_formula_sum 'Tb2 Au2 N2 O2'
_cell_length_a 3.822
_cell_length_b 6.161
_cell_length_c 5.633
_cell_angle_alpha 90.00
_cell_angle_beta 90.00
_cell_angle_gamma 90.00
_space_group_name_H-M_alt 'P m c 21'
_space_group_IT_number 26
loop_
_space_group_symop_operation_xyz
'x,y,z'
'-x,-y,z+1/2'
'-x,y,z'
'x,-y,z+1/2'
loop_
_atom_site_label
_atom_site_type_symbol
_atom_site_fract_x
_atom_site_fract_y
_atom_site_fract_z
_atom_site_occupancy
Tb1 Tb 0.000 0.214 0.000 1
Au1 Au 0.500 0.237 0.495 1
N1 N 0.000 0.147 0.401 1
O1 O 0.500 0.353 0.890 1
```

***

B:
TbAuNO | PBE | relaxed

Structure (CIF):
```
data_TbAuNO
_chemical_formula_sum 'Tb4 Au4 N4 O4'
_cell_length_a 7.015
_cell_length_b 6.798
_cell_length_c 4.997
_cell_angle_alpha 90.00
_cell_angle_beta 90.00
_cell_angle_gamma 90.00
_space_group_name_H-M_alt 'P c a 21'
_space_group_IT_number 29
loop_
_space_group_symop_operation_xyz
'x,y,z'
'-x,-y,z+1/2'
'-x+1/2,y,z+1/2'
'x+1/2,-y,z'
loop_
_atom_site_label
_atom_site_type_symbol
_atom_site_fract_x
_atom_site_fract_y
_atom_site_fract_z
_atom_site_occupancy
Tb1 Tb 0.081 0.174 0.000 1
Au1 Au 0.144 0.703 0.992 1
N1 N 0.094 0.119 0.510 1
O1 O 0.100 0.556 0.417 1
```

***

Taking the most stable structure as the zero point, the relative energies in eV/atom are A 0.000; B 0.119.

***

A:
YAuNO | PBE | relaxed

Structure (CIF):
```
data_YAuNO
_chemical_formula_sum 'Y2 Au2 N2 O2'
_cell_length_a 3.939
_cell_length_b 3.939
_cell_length_c 7.515
_cell_angle_alpha 90.00
_cell_angle_beta 90.00
_cell_angle_gamma 90.00
_space_group_name_H-M_alt 'P 4/n m m'
_space_group_IT_number 129
loop_
_space_group_symop_operation_xyz
'x,y,z'
'-x,-y,-z'
'-y+1/2,x,z'
'y+1/2,-x,-z'
'-x+1/2,-y+1/2,z'
'x+1/2,y+1/2,-z'
'y,-x+1/2,z'
'-y,x+1/2,-z'
'x+1/2,-y,-z'
'-x+1/2,y,z'
'-y,-x,-z'
'y,x,z'
'-x,y+1/2,-z'
'x,-y+1/2,z'
'y+1/2,x+1/2,-z'
'-y+1/2,-x+1/2,z'
loop_
_atom_site_label
_atom_site_type_symbol
_atom_site_fract_x
_atom_site_fract_y
_atom_site_fract_z
_atom_site_occupancy
Y1 Y 0.250 0.250 0.144 1
Au1 Au 0.250 0.750 0.500 1
N1 N 0.250 0.250 0.683 1
O1 O 0.250 0.750 0.000 1
```

***

B:
YAuNO | PBE | relaxed

Structure (CIF):
```
data_YAuNO
_chemical_formula_sum 'Y2 Au2 N2 O2'
_cell_length_a 4.078
_cell_length_b 7.372
_cell_length_c 5.116
_cell_angle_alpha 90.00
_cell_angle_beta 90.00
_cell_angle_gamma 90.00
_space_group_name_H-M_alt 'P m c 21'
_space_group_IT_number 26
loop_
_space_group_symop_operation_xyz
'x,y,z'
'-x,-y,z+1/2'
'-x,y,z'
'x,-y,z+1/2'
loop_
_atom_site_label
_atom_site_type_symbol
_atom_site_fract_x
_atom_site_fract_y
_atom_site_fract_z
_atom_site_occupancy
Y1 Y 0.000 0.157 0.000 1
Au1 Au 0.500 0.474 0.615 1
N1 N 0.500 0.292 0.901 1
O1 O 0.000 0.120 0.416 1
```

***

C:
YAuNO | PBE | relaxed

Structure (CIF):
```
data_YAuNO
_chemical_formula_sum 'Y4 Au4 N4 O4'
_cell_length_a 5.719
_cell_length_b 7.701
_cell_length_c 5.581
_cell_angle_alpha 90.00
_cell_angle_beta 90.00
_cell_angle_gamma 90.00
_space_group_name_H-M_alt 'P c a 21'
_space_group_IT_number 29
loop_
_space_group_symop_operation_xyz
'x,y,z'
'-x,-y,z+1/2'
'-x+1/2,y,z+1/2'
'x+1/2,-y,z'
loop_
_atom_site_label
_atom_site_type_symbol
_atom_site_fract_x
_atom_site_fract_y
_atom_site_fract_z
_atom_site_occupancy
Y1 Y 0.040 0.132 0.000 1
Au1 Au 0.067 0.470 0.646 1
N1 N 0.146 0.333 0.312 1
O1 O 0.248 0.963 0.244 1
```

***

Taking the most stable structure as the zero point, the relative energies in eV/atom are A 0.300; B 0.180; C 0.000.

***

A:
YAuNO | PBE | relaxed

Structure (CIF):
```
data_YAuNO
_chemical_formula_sum 'Y2 Au2 N2 O2'
_cell_length_a 3.785
_cell_length_b 6.130
_cell_length_c 5.717
_cell_angle_alpha 90.00
_cell_angle_beta 90.00
_cell_angle_gamma 90.00
_space_group_name_H-M_alt 'P m c 21'
_space_group_IT_number 26
loop_
_space_group_symop_operation_xyz
'x,y,z'
'-x,-y,z+1/2'
'-x,y,z'
'x,-y,z+1/2'
loop_
_atom_site_label
_atom_site_type_symbol
_atom_site_fract_x
_atom_site_fract_y
_atom_site_fract_z
_atom_site_occupancy
Y1 Y 0.000 0.215 0.000 1
Au1 Au 0.500 0.236 0.496 1
N1 N 0.000 0.145 0.392 1
O1 O 0.500 0.354 0.886 1
```

***

B:
YAuNO | PBE | relaxed

Structure (CIF):
```
data_YAuNO
_chemical_formula_sum 'Y2 Au2 N2 O2'
_cell_length_a 4.927
_cell_length_b 4.927
_cell_length_c 4.528
_cell_angle_alpha 90.00
_cell_angle_beta 90.00
_cell_angle_gamma 90.00
_space_group_name_H-M_alt 'P 4/n m m'
_space_group_IT_number 129
loop_
_space_group_symop_operation_xyz
'x,y,z'
'-x,-y,-z'
'-y+1/2,x,z'
'y+1/2,-x,-z'
'-x+1/2,-y+1/2,z'
'x+1/2,y+1/2,-z'
'y,-x+1/2,z'
'-y,x+1/2,-z'
'x+1/2,-y,-z'
'-x+1/2,y,z'
'-y,-x,-z'
'y,x,z'
'-x,y+1/2,-z'
'x,-y+1/2,z'
'y+1/2,x+1/2,-z'
'-y+1/2,-x+1/2,z'
loop_
_atom_site_label
_atom_site_type_symbol
_atom_site_fract_x
_atom_site_fract_y
_atom_site_fract_z
_atom_site_occupancy
Y1 Y 0.250 0.750 0.000 1
Au1 Au 0.250 0.250 0.499 1
N1 N 0.250 0.250 0.998 1
O1 O 0.250 0.750 0.500 1
```

***

C:
YAuNO | PBE | relaxed

Structure (CIF):
```
data_YAuNO
_chemical_formula_sum 'Y1 Au1 N1 O1'
_cell_length_a 3.398
_cell_length_b 3.398
_cell_length_c 4.616
_cell_angle_alpha 90.00
_cell_angle_beta 90.00
_cell_angle_gamma 90.00
_space_group_name_H-M_alt 'P 4/m m m'
_space_group_IT_number 123
_space_group_name_Hall '-P 4 2'
loop_
_atom_site_label
_atom_site_type_symbol
_atom_site_fract_x
_atom_site_fract_y
_atom_site_fract_z
_atom_site_occupancy
Y1 Y 0.000 0.000 0.000 1
Au1 Au 0.500 0.500 0.500 1
N1 N 0.500 0.500 0.000 1
O1 O 0.000 0.000 0.500 1
```

***

Taking the most stable structure as the zero point, the relative energies in eV/atom are A 0.005; B 0.000; C 0.032.

***

A:
ZnAuNO | PBE | relaxed

Structure (CIF):
```
data_ZnAuNO
_chemical_formula_sum 'Zn4 Au4 N4 O4'
_cell_length_a 5.856
_cell_length_b 6.899
_cell_length_c 5.273
_cell_angle_alpha 90.00
_cell_angle_beta 90.00
_cell_angle_gamma 90.00
_space_group_name_H-M_alt 'P c a 21'
_space_group_IT_number 29
loop_
_space_group_symop_operation_xyz
'x,y,z'
'-x,-y,z+1/2'
'-x+1/2,y,z+1/2'
'x+1/2,-y,z'
loop_
_atom_site_label
_atom_site_type_symbol
_atom_site_fract_x
_atom_site_fract_y
_atom_site_fract_z
_atom_site_occupancy
Zn1 Zn 0.079 0.097 0.000 1
Au1 Au 0.064 0.561 0.982 1
N1 N 0.119 0.674 0.625 1
O1 O 0.109 0.116 0.630 1
```

***

B:
ZnAuNO | PBE | relaxed

Structure (CIF):
```
data_ZnAuNO
_chemical_formula_sum 'Zn2 Au2 N2 O2'
_cell_length_a 3.356
_cell_length_b 6.182
_cell_length_c 5.136
_cell_angle_alpha 90.00
_cell_angle_beta 90.00
_cell_angle_gamma 90.00
_space_group_name_H-M_alt 'P m c 21'
_space_group_IT_number 26
loop_
_space_group_symop_operation_xyz
'x,y,z'
'-x,-y,z+1/2'
'-x,y,z'
'x,-y,z+1/2'
loop_
_atom_site_label
_atom_site_type_symbol
_atom_site_fract_x
_atom_site_fract_y
_atom_site_fract_z
_atom_site_occupancy
Zn1 Zn 0.000 0.133 0.000 1
Au1 Au 0.500 0.410 0.524 1
N1 N 0.500 0.278 0.885 1
O1 O 0.000 0.166 0.384 1
```

***

C:
ZnAuNO | PBE | relaxed

Structure (CIF):
```
data_ZnAuNO
_chemical_formula_sum 'Zn2 Au2 N2 O2'
_cell_length_a 4.078
_cell_length_b 4.078
_cell_length_c 6.343
_cell_angle_alpha 90.00
_cell_angle_beta 90.00
_cell_angle_gamma 90.00
_space_group_name_H-M_alt 'P 4/n m m'
_space_group_IT_number 129
loop_
_space_group_symop_operation_xyz
'x,y,z'
'-x,-y,-z'
'-y+1/2,x,z'
'y+1/2,-x,-z'
'-x+1/2,-y+1/2,z'
'x+1/2,y+1/2,-z'
'y,-x+1/2,z'
'-y,x+1/2,-z'
'x+1/2,-y,-z'
'-x+1/2,y,z'
'-y,-x,-z'
'y,x,z'
'-x,y+1/2,-z'
'x,-y+1/2,z'
'y+1/2,x+1/2,-z'
'-y+1/2,-x+1/2,z'
loop_
_atom_site_label
_atom_site_type_symbol
_atom_site_fract_x
_atom_site_fract_y
_atom_site_fract_z
_atom_site_occupancy
Zn1 Zn 0.250 0.250 0.069 1
Au1 Au 0.250 0.750 0.500 1
N1 N 0.250 0.250 0.415 1
O1 O 0.250 0.750 0.000 1
```

***

D:
ZnAuNO | PBE | relaxed

Structure (CIF):
```
data_ZnAuNO
_chemical_formula_sum 'Zn2 Au2 N2 O2'
_cell_length_a 5.790
_cell_length_b 2.928
_cell_length_c 5.785
_cell_angle_alpha 90.00
_cell_angle_beta 90.00
_cell_angle_gamma 90.00
_space_group_name_H-M_alt 'P m m a'
_space_group_IT_number 51
loop_
_space_group_symop_operation_xyz
'x,y,z'
'-x,-y,-z'
'-x+1/2,-y,z'
'x+1/2,y,-z'
'x+1/2,-y,-z'
'-x+1/2,y,z'
'-x,y,-z'
'x,-y,z'
loop_
_atom_site_label
_atom_site_type_symbol
_atom_site_fract_x
_atom_site_fract_y
_atom_site_fract_z
_atom_site_occupancy
Zn1 Zn 0.000 0.000 0.000 1
Au1 Au 0.250 0.500 0.495 1
N1 N 0.250 0.000 0.244 1
O1 O 0.250 0.500 0.853 1
```

***

Taking the most stable structure as the zero point, the relative energies in eV/atom are A 0.000; B 0.070; C 0.050; D 0.010.